Entry from Alexandria: an optimized crystal structure of Ac2ScGa12Cu3 (PBE).

It has space group R-3m (No. 166, hexagonal axes), with a = 6.6052 Å, b = 6.6052 Å, c = 29.6808 Å, α = 90.00°, β = 90.00° and γ = 120.00°. The inequivalent atoms are Ac at (0.0000, 0.0000, 0.1433), Sc at (0.0000, 0.0000, 0.5000), Ga at (0.0384, 0.5192, 0.0933), Ga at (0.0584, 0.5292, 0.6236) and Cu at (0.0000, 0.5000, 0.0000).

As for the energy of formation: -0.19 eV/atom. The calculated volume is 20.768 Å³/atom.